Compound: Ba2TbPbSe5
Source: Alexandria via LeMat-Bulk
Functional: PBE
Structure: relaxed

Cell lengths 4.4192, 9.6410, 13.6361 Å; angles 90.00, 90.00, 103.25 degrees
Last column: nearest neighbours and their distance in Å.
Positions (direct):
1 Se 0.2856 0.5712 0.6538  2 Tb 2.90
2 Se 0.0555 0.1109 0.0766  2 Pb 2.81, 1 Tb 3.03
3 Se 0.6824 0.3647 0.8746  2 Tb 2.98, 1 Pb 2.99
4 Se 0.5112 0.0224 0.2581  1 Pb 2.78
5 Se 0.3176 0.6353 0.3746  2 Tb 2.98, 1 Pb 2.99
6 Se 0.9445 0.8891 0.5766  2 Pb 2.81, 1 Tb 3.03
7 Se 0.3611 0.7222 0.9988  1 Tb 2.82
8 Se 0.7144 0.4288 0.1538  2 Tb 2.90
9 Se 0.4888 0.9776 0.7581  1 Pb 2.78
10 Se 0.6389 0.2778 0.4988  1 Tb 2.82
11 Pb 0.5334 0.0668 0.9524  4 Se 2.78-2.99
12 Pb 0.4666 0.9332 0.4524  4 Se 2.78-2.99
13 Tb 0.7889 0.5778 0.5164  6 Se 2.82-3.03
14 Tb 0.2111 0.4222 0.0164  6 Se 2.82-3.03
15 Ba 0.1409 0.2818 0.3090  8 Se 3.36-3.55
16 Ba 0.8591 0.7182 0.8090  8 Se 3.36-3.55
17 Ba 0.8859 0.7718 0.1843  6 Se 3.25-3.50
18 Ba 0.1141 0.2282 0.6843  6 Se 3.25-3.50

Values from the calculation:
calculated volume	565.5	Å³ per cell
E	-86.600	eV for the cell shown
symmetry	Cmc2_1 (36)
formation energy (no corrections)	-1.521	eV per atom
crystal system	orthorhombic

=====

Compound: Ba2ThPbSe5
Source: Alexandria via LeMat-Bulk
Functional: PBE
Structure: relaxed

Cell lengths 4.4859, 9.6777, 14.7277 Å; angles 90.00, 90.00, 103.40 degrees
Last column: nearest neighbours and their distance in Å.
Positions (direct):
1 Th 0.2258 0.4517 0.0277  6 Se 2.86-2.99
2 Th 0.7742 0.5483 0.5277  6 Se 2.86-2.99
3 Ba 0.8668 0.7335 0.8010  8 Se 3.31-3.62
4 Ba 0.1332 0.2665 0.3010  8 Se 3.31-3.62
5 Ba 0.0856 0.1713 0.6591  6 Se 3.23-3.43
6 Ba 0.9144 0.8287 0.1591  6 Se 3.23-3.43
7 Se 0.6237 0.2474 0.4902  1 Th 2.89
8 Se 0.0779 0.1558 0.0729  1 Th 2.86, 2 Pb 2.94
9 Se 0.5080 0.0160 0.2616  1 Pb 2.96, 4 Ba 3.23-3.31
10 Se 0.2627 0.5254 0.6611  2 Th 2.99, 1 Ba 3.33
11 Se 0.7373 0.4746 0.1611  2 Th 2.99, 1 Ba 3.33
12 Se 0.2980 0.5960 0.4002  2 Th 2.96, 1 Pb 3.03
13 Se 0.4920 0.9840 0.7616  1 Pb 2.96, 4 Ba 3.23-3.31
14 Se 0.7020 0.4040 0.9002  2 Th 2.96, 1 Pb 3.03
15 Se 0.3763 0.7526 0.9902  1 Th 2.89
16 Se 0.9221 0.8442 0.5729  1 Th 2.86, 2 Pb 2.94
17 Pb 0.4542 0.9084 0.4502  5 Se 2.94-3.25
18 Pb 0.5458 0.0916 0.9502  5 Se 2.94-3.25

Values from the calculation:
calculated volume	622.0	Å³ per cell
E	-93.259	eV for the cell shown
symmetry	Cmc2_1 (36)
formation energy (no corrections)	-1.581	eV per atom
crystal system	orthorhombic

=====

Compound: BaTiPbSe2
Source: Alexandria via LeMat-Bulk
Functional: PBE
Structure: relaxed

Cell lengths 5.0464, 5.9372, 5.0464 Å; angles 90.00, 90.00, 90.00 degrees
Last column: nearest neighbours and their distance in Å.
Positions (direct):
1 Ba 0.0000 0.5000 0.0000  2 Ti 2.97
2 Ti 0.0000 0.0000 0.0000  4 Se 2.52
3 Pb 0.5000 0.5000 0.5000  4 Ba 3.57, 8 Se 3.90
4 Se 0.0000 0.0000 0.5000  2 Ti 2.52
5 Se 0.5000 0.0000 0.0000  2 Ti 2.52

Values from the calculation:
calculated volume	151.2	Å³ per cell
E	-21.932	eV for the cell shown
symmetry	P4/mmm (123)
formation energy (no corrections)	-0.287	eV per atom
crystal system	tetragonal

=====

- Which value of calculated volume does entry 1 give?
  565.5 Å³ per cell

=====

- What is the formation energy (no corrections) in the third record?
  -0.287 eV per atom

=====

- The lowest formation energy (no corrections) belongs to which entry?
  Ba2ThPbSe5